[1]
A plane-wave DFT calculation with meta-GGA SCAN was carried out for a PBEsol-optimized structure of CsMo3Se3.

Structure (CIF):
```
data_CsMo3Se3
_chemical_formula_sum 'Cs2 Mo6 Se6'
_symmetry_space_group_name_H-M 'P 63/m'
_symmetry_Int_Tables_number 176
_symmetry_space_group_name_Hall '-P 6c'
_cell_length_a 9.5248
_cell_length_b 9.5248
_cell_length_c 4.4692
_cell_angle_alpha 90.00
_cell_angle_beta 90.00
_cell_angle_gamma 120.00
loop_
_atom_site_label
_atom_site_fract_x
_atom_site_fract_y
_atom_site_fract_z
Cs1 0.3333 0.6667 0.2500
Mo1 0.0246 0.8537 0.2500
Se1 0.0500 0.7125 0.7500
```

Computed properties:
Total magnetic moment = 0.0 μB/f.u.
ΔE_f (raw) = -0.84 eV/atom



[2]
A plane-wave DFT calculation with meta-GGA SCAN was carried out for a PBEsol-optimized structure of Mo4C3.

Structure (CIF):
```
data_Mo4C3
_chemical_formula_sum 'Mo4 C3'
_symmetry_space_group_name_H-M 'P -4 3 m'
_symmetry_Int_Tables_number 215
_symmetry_space_group_name_Hall 'P -4 2 3'
_cell_length_a 4.4620
_cell_length_b 4.4620
_cell_length_c 4.4620
_cell_angle_alpha 90.00
_cell_angle_beta 90.00
_cell_angle_gamma 90.00
loop_
_atom_site_label
_atom_site_fract_x
_atom_site_fract_y
_atom_site_fract_z
Mo1 0.2239 0.2239 0.7761
C1 0.0000 0.5000 0.5000
```

Computed properties:
Total magnetic moment = 0.0 μB/f.u.
Formation enthalpy at 0 K = 0.53 eV per atom



[3]
A plane-wave DFT calculation with meta-GGA SCAN was carried out for a PBEsol-optimized structure of HfTl3H.

Structure (CIF):
```
data_HfTl3H
_chemical_formula_sum 'Hf1 Tl3 H1'
_symmetry_space_group_name_H-M 'P m -3 m'
_symmetry_Int_Tables_number 221
_symmetry_space_group_name_Hall '-P 4 2 3'
_cell_length_a 4.6006
_cell_length_b 4.6006
_cell_length_c 4.6006
_cell_angle_alpha 90.00
_cell_angle_beta 90.00
_cell_angle_gamma 90.00
loop_
_atom_site_label
_atom_site_fract_x
_atom_site_fract_y
_atom_site_fract_z
Hf1 0.0000 0.0000 0.0000
Tl1 0.0000 0.5000 0.5000
H1 0.5000 0.5000 0.5000
```

Computed properties:
Uncorrected energy = -281.0 eV for the cell shown
Total magnetic moment = 0.0 μB/f.u.



[4]
A plane-wave DFT calculation with meta-GGA SCAN was carried out for a PBEsol-optimized structure of ZrZn2Sb.

Structure (CIF):
```
data_ZrZn2Sb
_chemical_formula_sum 'Zr1 Zn2 Sb1'
_symmetry_space_group_name_H-M 'P 1 2/m 1'
_symmetry_Int_Tables_number 10
_symmetry_space_group_name_Hall '-P 2y'
_cell_length_a 4.9840
_cell_length_b 3.0635
_cell_length_c 5.3394
_cell_angle_alpha 90.00
_cell_angle_beta 112.10
_cell_angle_gamma 90.00
loop_
_atom_site_label
_atom_site_fract_x
_atom_site_fract_y
_atom_site_fract_z
Zr1 0.0000 0.0000 0.0000
Zn1 0.0000 0.5000 0.5000
Zn2 0.5000 0.0000 0.5000
Sb1 0.5000 0.5000 0.0000
```

Computed properties:
Total magnetic moment = 0.0 μB/f.u.
ΔE_f (raw) = -0.14 eV/atom



[5]
A plane-wave DFT calculation with meta-GGA SCAN was carried out for a PBEsol-optimized structure of BaReAu.

Structure (CIF):
```
data_BaReAu
_chemical_formula_sum 'Ba2 Re2 Au2'
_symmetry_space_group_name_H-M 'I 4 m m'
_symmetry_Int_Tables_number 107
_symmetry_space_group_name_Hall 'I 4 -2'
_cell_length_a 3.0199
_cell_length_b 3.0199
_cell_length_c 14.2263
_cell_angle_alpha 90.00
_cell_angle_beta 90.00
_cell_angle_gamma 90.00
loop_
_atom_site_label
_atom_site_fract_x
_atom_site_fract_y
_atom_site_fract_z
Ba1 0.0000 0.0000 0.0000
Re1 0.0000 0.0000 0.3121
Au1 0.0000 0.0000 0.6934
```

Computed properties:
Total magnetic moment = 0.0 μB/f.u.
Formation enthalpy at 0 K = 0.88 eV per atom



[6]
A plane-wave DFT calculation with meta-GGA SCAN was carried out for a PBEsol-optimized structure of RbTlAs3.

Structure (CIF):
```
data_RbTlAs3
_chemical_formula_sum 'Rb1 Tl1 As3'
_symmetry_space_group_name_H-M 'P m -3 m'
_symmetry_Int_Tables_number 221
_symmetry_space_group_name_Hall '-P 4 2 3'
_cell_length_a 5.3900
_cell_length_b 5.3900
_cell_length_c 5.3900
_cell_angle_alpha 90.00
_cell_angle_beta 90.00
_cell_angle_gamma 90.00
loop_
_atom_site_label
_atom_site_fract_x
_atom_site_fract_y
_atom_site_fract_z
Rb1 0.0000 0.0000 0.0000
Tl1 0.5000 0.5000 0.5000
As1 0.0000 0.5000 0.5000
```

Computed properties:
Total magnetic moment = 0.0 μB/f.u.
Formation enthalpy at 0 K = 0.59 eV per atom



[7]
A plane-wave DFT calculation with meta-GGA SCAN was carried out for a PBEsol-optimized structure of Sr2GdCu3Pb2O8.

Structure (CIF):
```
data_Sr2GdCu3Pb2O8
_chemical_formula_sum 'Sr2 Gd1 Cu3 Pb2 O8'
_symmetry_space_group_name_H-M 'P 4/m m m'
_symmetry_Int_Tables_number 123
_symmetry_space_group_name_Hall '-P 4 2'
_cell_length_a 3.7894
_cell_length_b 3.7894
_cell_length_c 15.7066
_cell_angle_alpha 90.00
_cell_angle_beta 90.00
_cell_angle_gamma 90.00
loop_
_atom_site_label
_atom_site_fract_x
_atom_site_fract_y
_atom_site_fract_z
Sr1 0.0000 0.0000 0.2209
Gd1 0.0000 0.0000 0.0000
Cu1 0.0000 0.0000 0.5000
Cu2 0.5000 0.5000 0.1054
Pb1 0.5000 0.5000 0.3882
O1 0.0000 0.0000 0.3832
O2 0.0000 0.5000 0.0944
O3 0.5000 0.5000 0.2505
```

Computed properties:
Total magnetic moment = 6.8 μB/f.u.
ΔE_f (raw) = -1.89 eV/atom



[8]
A plane-wave DFT calculation with meta-GGA SCAN was carried out for a PBEsol-optimized structure of SrCaIr.

Structure (CIF):
```
data_SrCaIr
_chemical_formula_sum 'Sr1 Ca1 Ir1'
_symmetry_space_group_name_H-M 'P 3 m 1'
_symmetry_Int_Tables_number 156
_symmetry_space_group_name_Hall 'P 3 -2"'
_cell_length_a 4.2546
_cell_length_b 4.2546
_cell_length_c 6.2689
_cell_angle_alpha 90.00
_cell_angle_beta 90.00
_cell_angle_gamma 120.00
loop_
_atom_site_label
_atom_site_fract_x
_atom_site_fract_y
_atom_site_fract_z
Sr1 0.0000 0.0000 0.0000
Ca1 0.3333 0.6667 0.4538
Ir1 0.6667 0.3333 0.2498
```

Computed properties:
Total magnetic moment = 0.0 μB/f.u.
Formation enthalpy at 0 K = -0.02 eV per atom



[9]
A plane-wave DFT calculation with meta-GGA SCAN was carried out for a PBEsol-optimized structure of FeCu2Ir.

Structure (CIF):
```
data_FeCu2Ir
_chemical_formula_sum 'Fe2 Cu4 Ir2'
_symmetry_space_group_name_H-M 'C 1 2/m 1'
_symmetry_Int_Tables_number 12
_symmetry_space_group_name_Hall '-C 2y'
_cell_length_a 8.6533
_cell_length_b 2.6025
_cell_length_c 4.3839
_cell_angle_alpha 90.00
_cell_angle_beta 100.97
_cell_angle_gamma 90.00
loop_
_atom_site_label
_atom_site_fract_x
_atom_site_fract_y
_atom_site_fract_z
Fe1 0.0000 0.0000 0.0000
Cu1 0.2486 0.5000 0.2442
Ir1 0.0000 0.5000 0.5000
```

Computed properties:
Excess energy over the best structure of this formula in the dataset = 0.024 eV/atom
Total magnetic moment = 3.4 μB/f.u.
Formation enthalpy at 0 K = 0.01 eV per atom



[10]
A plane-wave DFT calculation with meta-GGA SCAN was carried out for a PBEsol-optimized structure of BeAg2Cl.

Structure (CIF):
```
data_BeAg2Cl
_chemical_formula_sum 'Be2 Ag4 Cl2'
_symmetry_space_group_name_H-M 'C 1 2/m 1'
_symmetry_Int_Tables_number 12
_symmetry_space_group_name_Hall '-C 2y'
_cell_length_a 6.8468
_cell_length_b 3.3521
_cell_length_c 6.0606
_cell_angle_alpha 90.00
_cell_angle_beta 103.22
_cell_angle_gamma 90.00
loop_
_atom_site_label
_atom_site_fract_x
_atom_site_fract_y
_atom_site_fract_z
Be1 0.0000 0.0000 0.0000
Ag1 0.2232 0.5000 0.1815
Cl1 0.0000 0.5000 0.5000
```

Computed properties:
Excess energy over the best structure of this formula in the dataset = 0.000 eV/atom
Total magnetic moment = 0.0 μB/f.u.
ΔE_f (raw) = 0.05 eV/atom



[11]
A plane-wave DFT calculation with meta-GGA SCAN was carried out for a PBEsol-optimized structure of LiVF6.

Structure (CIF):
```
data_LiVF6
_chemical_formula_sum 'Li1 V1 F6'
_symmetry_space_group_name_H-M 'P 3 1 2'
_symmetry_Int_Tables_number 149
_symmetry_space_group_name_Hall 'P 3 2'
_cell_length_a 4.8414
_cell_length_b 4.8414
_cell_length_c 4.5065
_cell_angle_alpha 90.00
_cell_angle_beta 90.00
_cell_angle_gamma 120.00
loop_
_atom_site_label
_atom_site_fract_x
_atom_site_fract_y
_atom_site_fract_z
Li1 0.0000 0.0000 0.0000
V1 0.6667 0.3333 0.5000
F1 0.3585 0.0418 0.7312
```

Computed properties:
Total magnetic moment = 0.2 μB/f.u.
ΔE_f (raw) = -2.97 eV/atom



[12]
A plane-wave DFT calculation with meta-GGA SCAN was carried out for a PBEsol-optimized structure of Cr2CoNi.

Structure (CIF):
```
data_Cr2CoNi
_chemical_formula_sum 'Cr2 Co1 Ni1'
_symmetry_space_group_name_H-M 'P m m m'
_symmetry_Int_Tables_number 47
_symmetry_space_group_name_Hall '-P 2 2'
_cell_length_a 2.4202
_cell_length_b 3.5929
_cell_length_c 4.8370
_cell_angle_alpha 90.00
_cell_angle_beta 90.00
_cell_angle_gamma 90.00
loop_
_atom_site_label
_atom_site_fract_x
_atom_site_fract_y
_atom_site_fract_z
Cr1 0.0000 0.0000 0.2431
Co1 0.5000 0.5000 0.0000
Ni1 0.5000 0.5000 0.5000
```

Computed properties:
Excess energy over the best structure of this formula in the dataset = 0.009 eV/atom
Total magnetic moment = 0.0 μB/f.u.
Formation enthalpy at 0 K = 0.12 eV per atom



[13]
A plane-wave DFT calculation with meta-GGA SCAN was carried out for a PBEsol-optimized structure of GeSbSeBr2.

Structure (CIF):
```
data_GeSbSeBr2
_chemical_formula_sum 'Ge1 Sb1 Se1 Br2'
_symmetry_space_group_name_H-M 'P 4/m m m'
_symmetry_Int_Tables_number 123
_symmetry_space_group_name_Hall '-P 4 2'
_cell_length_a 5.0659
_cell_length_b 5.0659
_cell_length_c 5.1597
_cell_angle_alpha 90.00
_cell_angle_beta 90.00
_cell_angle_gamma 90.00
loop_
_atom_site_label
_atom_site_fract_x
_atom_site_fract_y
_atom_site_fract_z
Ge1 0.0000 0.0000 0.0000
Sb1 0.5000 0.5000 0.5000
Se1 0.0000 0.0000 0.5000
Br1 0.0000 0.5000 0.0000
```

Computed properties:
Total magnetic moment = 0.0 μB/f.u.
ΔE_f (raw) = 0.21 eV/atom



[14]
A plane-wave DFT calculation with meta-GGA SCAN was carried out for a PBEsol-optimized structure of LaGeSeN2.

Structure (CIF):
```
data_LaGeSeN2
_chemical_formula_sum 'La1 Ge1 Se1 N2'
_symmetry_space_group_name_H-M 'P 4/m m m'
_symmetry_Int_Tables_number 123
_symmetry_space_group_name_Hall '-P 4 2'
_cell_length_a 4.1361
_cell_length_b 4.1361
_cell_length_c 6.1260
_cell_angle_alpha 90.00
_cell_angle_beta 90.00
_cell_angle_gamma 90.00
loop_
_atom_site_label
_atom_site_fract_x
_atom_site_fract_y
_atom_site_fract_z
La1 0.0000 0.0000 0.0000
Ge1 0.5000 0.5000 0.5000
Se1 0.0000 0.0000 0.5000
N1 0.0000 0.5000 0.0000
```

Computed properties:
Total magnetic moment = 0.0 μB/f.u.
ΔE_f (raw) = 0.67 eV/atom



[15]
A plane-wave DFT calculation with meta-GGA SCAN was carried out for a PBEsol-optimized structure of SiIr2Cl.

Structure (CIF):
```
data_SiIr2Cl
_chemical_formula_sum 'Si4 Ir8 Cl4'
_symmetry_space_group_name_H-M 'F -4 3 m'
_symmetry_Int_Tables_number 216
_symmetry_space_group_name_Hall 'F -4 2 3'
_cell_length_a 6.1801
_cell_length_b 6.1801
_cell_length_c 6.1801
_cell_angle_alpha 90.00
_cell_angle_beta 90.00
_cell_angle_gamma 90.00
loop_
_atom_site_label
_atom_site_fract_x
_atom_site_fract_y
_atom_site_fract_z
Si1 0.0000 0.0000 0.0000
Ir1 0.0000 0.0000 0.5000
Ir2 0.2500 0.2500 0.2500
Cl1 0.2500 0.2500 0.7500
```

Computed properties:
Excess energy over the best structure of this formula in the dataset = 0.340 eV/atom
Total magnetic moment = 0.0 μB/f.u.
ΔE_f (raw) = 0.84 eV/atom



[16]
A plane-wave DFT calculation with meta-GGA SCAN was carried out for a PBEsol-optimized structure of CuBr.

Structure (CIF):
```
data_CuBr
_chemical_formula_sum 'Cu4 Br4'
_symmetry_space_group_name_H-M 'F -4 3 m'
_symmetry_Int_Tables_number 216
_symmetry_space_group_name_Hall 'F -4 2 3'
_cell_length_a 5.5757
_cell_length_b 5.5757
_cell_length_c 5.5757
_cell_angle_alpha 90.00
_cell_angle_beta 90.00
_cell_angle_gamma 90.00
loop_
_atom_site_label
_atom_site_fract_x
_atom_site_fract_y
_atom_site_fract_z
Cu1 0.0000 0.0000 0.0000
Br1 0.2500 0.2500 0.2500
```

Computed properties:
Total magnetic moment = 0.0 μB/f.u.
ΔE_f (raw) = -0.26 eV/atom



[17]
A plane-wave DFT calculation with meta-GGA SCAN was carried out for a PBEsol-optimized structure of BaLi3Pb.

Structure (CIF):
```
data_BaLi3Pb
_chemical_formula_sum 'Ba1 Li3 Pb1'
_symmetry_space_group_name_H-M 'P m -3 m'
_symmetry_Int_Tables_number 221
_symmetry_space_group_name_Hall '-P 4 2 3'
_cell_length_a 5.2569
_cell_length_b 5.2569
_cell_length_c 5.2569
_cell_angle_alpha 90.00
_cell_angle_beta 90.00
_cell_angle_gamma 90.00
loop_
_atom_site_label
_atom_site_fract_x
_atom_site_fract_y
_atom_site_fract_z
Ba1 0.0000 0.0000 0.0000
Li1 0.0000 0.5000 0.5000
Pb1 0.5000 0.5000 0.5000
```

Computed properties:
Total magnetic moment = 0.9 μB/f.u.
Formation enthalpy at 0 K = -0.31 eV per atom



[18]
A plane-wave DFT calculation with meta-GGA SCAN was carried out for a PBEsol-optimized structure of RbIn2IrC.

Structure (CIF):
```
data_RbIn2IrC
_chemical_formula_sum 'Rb1 In2 Ir1 C1'
_symmetry_space_group_name_H-M 'P 4/m m m'
_symmetry_Int_Tables_number 123
_symmetry_space_group_name_Hall '-P 4 2'
_cell_length_a 5.6236
_cell_length_b 5.6236
_cell_length_c 4.1738
_cell_angle_alpha 90.00
_cell_angle_beta 90.00
_cell_angle_gamma 90.00
loop_
_atom_site_label
_atom_site_fract_x
_atom_site_fract_y
_atom_site_fract_z
Rb1 0.0000 0.0000 0.0000
In1 0.0000 0.5000 0.0000
Ir1 0.5000 0.5000 0.5000
C1 0.0000 0.0000 0.5000
```

Computed properties:
Total magnetic moment = 2.4 μB/f.u.
Formation enthalpy at 0 K = 2.89 eV per atom



[19]
A plane-wave DFT calculation with meta-GGA SCAN was carried out for a PBEsol-optimized structure of K2ZnCuCl.

Structure (CIF):
```
data_K2ZnCuCl
_chemical_formula_sum 'K2 Zn1 Cu1 Cl1'
_symmetry_space_group_name_H-M 'P 4/m m m'
_symmetry_Int_Tables_number 123
_symmetry_space_group_name_Hall '-P 4 2'
_cell_length_a 5.9570
_cell_length_b 5.9570
_cell_length_c 4.5978
_cell_angle_alpha 90.00
_cell_angle_beta 90.00
_cell_angle_gamma 90.00
loop_
_atom_site_label
_atom_site_fract_x
_atom_site_fract_y
_atom_site_fract_z
K1 0.0000 0.5000 0.0000
Zn1 0.0000 0.0000 0.5000
Cu1 0.5000 0.5000 0.5000
Cl1 0.5000 0.5000 0.0000
```

Computed properties:
Total magnetic moment = 0.0 μB/f.u.
ΔE_f (raw) = -0.14 eV/atom



[20]
A plane-wave DFT calculation with meta-GGA SCAN was carried out for a PBEsol-optimized structure of Nd4GaSbS9.

Structure (CIF):
```
data_Nd4GaSbS9
_chemical_formula_sum 'Nd32 Ga8 Sb8 S72'
_symmetry_space_group_name_H-M 'A e a 2'
_symmetry_Int_Tables_number 41
_symmetry_space_group_name_Hall 'A 2 -2ab'
_cell_length_a 13.6678
_cell_length_b 13.9582
_cell_length_c 14.2897
_cell_angle_alpha 90.00
_cell_angle_beta 90.00
_cell_angle_gamma 90.00
loop_
_atom_site_label
_atom_site_fract_x
_atom_site_fract_y
_atom_site_fract_z
Nd1 0.1019 0.1748 0.0000
Nd2 0.1041 0.1105 0.5528
Nd3 0.1799 0.1661 0.2822
Nd4 0.1834 0.3914 0.5099
Ga1 0.0935 0.3954 0.7711
Sb1 0.1117 0.4170 0.2370
S1 0.0000 0.0000 0.3604
S2 0.0000 0.0000 0.9952
S3 0.0028 0.1972 0.1771
S4 0.0669 0.2522 0.4228
S5 0.0807 0.0915 0.7506
S6 0.1007 0.4069 0.0640
S7 0.1908 0.3042 0.8665
S8 0.2012 0.4875 0.6859
S9 0.2455 0.2355 0.6172
S10 0.2485 0.0577 0.9292
```

Computed properties:
Total magnetic moment = 0.0 μB/f.u.
ΔE_f (raw) = -1.78 eV/atom